Computed, not measured: NaLa2Ce after structural relaxation at the GGA-PBE level of DFT.

Properties
ΔH_f (0 K): 507 meV per atom
space-group type: R-3m, No. 166
crystal system: trigonal

abc: 4.172 4.172 10.803
angles: 78.87 78.87 60.00
Fractional positions:
Ce (0.500, 0.500, 0.500)
Na (0.000, 0.000, 0.000)
La (0.117, 0.117, 0.649)
La (0.883, 0.883, 0.351)

Computed, not measured: Na2LaCeTi4O12 after structural relaxation at the GGA-PBE level of DFT.

Properties
space-group type: C2, No. 5
formation energy without anion corrections: -2.996 eV per atom
crystal system: monoclinic

abc: 5.483 5.483 9.520
angles: 73.17 73.17 60.17
Site moments in Bohr magnetons follow the coordinates.
Fractional positions:
Na (0.376, 0.126, 0.752)  0.00
O (0.092, 0.405, 0.469)  -0.01
Ce (0.124, 0.876, 0.500)  0.72
O (0.910, 0.091, 0.287)  0.00
Na (0.874, 0.624, 0.248)  0.00
O (0.909, 0.090, 0.713)  0.00
O (0.408, 0.591, 0.781)  0.00
O (0.595, 0.908, 0.531)  -0.01
O (0.434, 0.065, 0.252)  0.00
O (0.095, 0.401, 0.028)  0.00
Ti (0.253, 0.999, 0.125)  0.03
O (0.549, 0.451, 0.500)  -0.01
Ti (0.750, 0.505, 0.623)  0.06
Ti (0.495, 0.250, 0.377)  0.06
O (0.935, 0.566, 0.748)  0.00
Ti (0.001, 0.747, 0.875)  0.03
O (0.066, 0.934, 0.000)  0.00
O (0.599, 0.905, 0.972)  0.00
La (0.626, 0.374, 0.000)  0.00
O (0.409, 0.592, 0.219)  0.00

Computed, not measured: NaLaCePb after structural relaxation at the GGA-PBE level of DFT.

Properties
ΔH_f (0 K): -127 meV per atom
space-group type: F-43m, No. 216
crystal system: cubic

abc: 5.622 5.622 5.622
angles: 60.00 60.00 60.00
Site moments in Bohr magnetons follow the coordinates.
Fractional positions:
Na (0.000, 0.000, 0.000)  0.00
Ce (0.250, 0.250, 0.250)  1.06
La (0.750, 0.750, 0.750)  0.12
Pb (0.500, 0.500, 0.500)  -0.02

Computed, not measured: NaLaCe2Pb4 after structural relaxation at the GGA-PBE level of DFT.

Properties
ΔH_f (0 K): -349 meV per atom
space-group type: R-3m, No. 166
crystal system: trigonal

abc: 5.452 5.452 10.049
angles: 74.26 74.26 60.00
Site moments in Bohr magnetons follow the coordinates.
Fractional positions:
Pb (0.377, 0.377, 0.869)  0.01
Pb (0.623, 0.623, 0.131)  0.01
Na (0.500, 0.500, 0.500)  0.00
Pb (0.875, 0.875, 0.375)  0.02
La (0.000, 0.000, 0.000)  0.03
Ce (0.240, 0.240, 0.279)  0.88
Pb (0.125, 0.125, 0.625)  0.02
Ce (0.760, 0.760, 0.721)  0.88